*1*
## MgRu2N (PBE-GGA)

Data for MgRu2N after structural relaxation.

Lattice parameters (Å, degrees): 6.675 6.675 5.320 51.15 51.15 90.00
Sites, in units of the cell vectors:
Ru: 0.503 0.125 0.250
Ru: 0.247 0.625 0.250
Ru: 0.375 0.497 0.750
Ru: 0.875 0.753 0.750
Mg: 0.000 0.000 0.000
Mg: 0.750 0.250 0.500
N: 0.500 0.500 0.000
N: 0.250 0.750 0.500

=====

*2*
## MgRu2N (PBE-GGA)

Data for MgRu2N after structural relaxation.

Lattice parameters (Å, degrees): 4.143 4.143 4.143 60.00 60.00 60.00
Sites, in units of the cell vectors:
Ru: 0.250 0.250 0.250
Ru: 0.750 0.750 0.750
Mg: 0.500 0.500 0.500
N: 0.000 0.000 0.000

=====

Top of the stability list: *1*, leading by 1100 meV/atom.